The following is a PBE calculation of a relaxed Mg3Cl crystal, from the Alexandria database.

The structure in POSCAR format:
```
Mg3Cl
1.0
5.413 0.000 0.000
0.000 5.413 0.000
0.000 0.000 3.218
Mg Cl
3 1
direct
0.000 0.000 0.000
0.000 0.500 0.500
0.500 0.000 0.500
0.500 0.500 0.000
```

Raw total energy: -1.9130 eV per atom
Energy relative to the elements, uncorrected: -0.26 eV per atom